[1]
Below is crystalline La5Ce2Pb4 at its relaxed geometry, with properties calculated at the PBE level.

Unit cell a=10.8308 b=10.8308 c=9.4306 alpha=90.98 beta=90.98 gamma=18.92
Atoms (fractional coordinates):
1 La 0.0000 0.0000 0.0000
2 La 0.2831 0.2831 0.8158
3 La 0.3189 0.3189 0.4778
4 La 0.6811 0.6811 0.5222
5 La 0.7169 0.7169 0.1842
6 Ce 0.0629 0.0629 0.6129
7 Ce 0.9371 0.9371 0.3871
8 Pb 0.3582 0.3582 0.1304
9 Pb 0.4382 0.4382 0.7108
10 Pb 0.5618 0.5618 0.2892
11 Pb 0.6418 0.6418 0.8696

***

[2]
Below is crystalline La2CePb3 at its relaxed geometry, with properties calculated at the PBE level.

Results
Distance to the lowest polymorph of the same formula in meV/atom: 0

Unit cell a=6.0109 b=6.9400 c=9.5131 alpha=90.00 beta=108.31 gamma=90.00
Atoms (fractional coordinates):
1 La 0.0000 0.0000 0.0000
2 La 0.0000 0.5000 0.0000
3 La 0.3340 0.0000 0.6681
4 La 0.6660 0.0000 0.3319
5 Ce 0.3341 0.5000 0.6682
6 Ce 0.6659 0.5000 0.3318
7 Pb 0.1682 0.2567 0.3365
8 Pb 0.1682 0.7433 0.3365
9 Pb 0.5000 0.2545 0.0000
10 Pb 0.5000 0.7455 0.0000
11 Pb 0.8318 0.2567 0.6635
12 Pb 0.8318 0.7433 0.6635

***

[3]
Below is crystalline La2Ce2Pb3 at its relaxed geometry, with properties calculated at the PBE level.

Results
Distance to the lowest polymorph of the same formula in meV/atom: 0

Unit cell a=12.9570 b=12.9570 c=3.7575 alpha=90.00 beta=90.00 gamma=159.66
Atoms (fractional coordinates):
1 La 0.2013 0.7987 0.0000
2 La 0.7987 0.2013 0.0000
3 Ce 0.0680 0.9320 0.0000
4 Ce 0.9320 0.0680 0.0000
5 Pb 0.3611 0.6389 0.5000
6 Pb 0.5000 0.5000 0.5000
7 Pb 0.6389 0.3611 0.5000

***

[4]
Below is crystalline La3CePb4 at its relaxed geometry, with properties calculated at the PBE level.

Unit cell a=9.9696 b=9.9696 c=9.9696 alpha=149.81 beta=149.81 gamma=43.22
Atoms (fractional coordinates):
1 La 0.0000 0.0000 0.0000
2 La 0.2506 0.2506 0.0000
3 La 0.7494 0.7494 0.0000
4 Ce 0.5000 0.5000 0.0000
5 Pb 0.1239 0.6239 0.5000
6 Pb 0.3761 0.8761 0.5000
7 Pb 0.6239 0.1239 0.5000
8 Pb 0.8761 0.3761 0.5000

***

[5]
Below is crystalline La6CePb at its relaxed geometry, with properties calculated at the PBE level.

Unit cell a=5.0848 b=5.0848 c=10.3880 alpha=90.00 beta=90.00 gamma=90.00
Atoms (fractional coordinates):
1 La 0.0000 0.0000 0.0000
2 La 0.0000 0.0000 0.5000
3 La 0.0000 0.5000 0.2496
4 La 0.0000 0.5000 0.7504
5 La 0.5000 0.0000 0.2496
6 La 0.5000 0.0000 0.7504
7 Ce 0.5000 0.5000 0.0000
8 Pb 0.5000 0.5000 0.5000

***

[6]
Below is crystalline La3CePb2 at its relaxed geometry, with properties calculated at the PBE level.

Results
Distance to the lowest polymorph of the same formula in meV/atom: 0

Unit cell a=10.2819 b=10.2819 c=10.2819 alpha=142.06 beta=54.61 gamma=142.23
Atoms (fractional coordinates):
1 La 0.1772 0.2497 0.4270
2 La 0.2500 0.2500 0.0000
3 La 0.3228 0.7497 0.0725
4 La 0.6772 0.2503 0.9275
5 La 0.7500 0.7500 0.0000
6 La 0.8228 0.7503 0.5730
7 Ce 0.2500 0.7500 0.5000
8 Ce 0.7500 0.2500 0.5000
9 Pb 0.1369 0.7463 0.8831
10 Pb 0.3631 0.2463 0.6094
11 Pb 0.6369 0.7537 0.3906
12 Pb 0.8631 0.2537 0.1169

***

Number 1: DFT total energy -4.9255 eV per atom, energy relative to the elements -0.26 eV/atom. Number 2: DFT total energy -4.9927 eV per atom, energy relative to the elements -0.51 eV/atom. Number 3: DFT total energy -5.0192 eV per atom, energy relative to the elements -0.33 eV/atom. Number 4: DFT total energy -4.9789 eV per atom, energy relative to the elements -0.54 eV/atom. Number 5: DFT total energy -5.0491 eV per atom, energy relative to the elements -0.15 eV/atom. Number 6: DFT total energy -5.1354 eV per atom, energy relative to the elements -0.45 eV/atom.